# 1
Below is an optimized crystal structure of V3GaSi2, with properties calculated at the PBE-GGA level.

Raw formation energy ... -274 meV/atom
Theoretical density ... 5.8 g/cm³

Unit cell a=5.1405 b=8.6974 c=4.7847 alpha=113.02 beta=122.49 gamma=90.00
Last column: nearest neighbours and their distance in Å.
Element x y z (fractional)
V (0.6231, 0.2500, 0.0000)  6 Si 2.54-2.73, 2 Ga 2.57, 4 V 2.71
V (0.3769, 0.7500, 0.0000)  6 Si 2.54-2.73, 2 Ga 2.57, 4 V 2.71
V (0.0410, 0.0856, 0.3356)  5 Si 2.57-2.72, 3 Ga 2.59-2.71, 4 V 2.71-2.74
V (0.7054, 0.4144, 0.6644)  5 Si 2.57-2.72, 3 Ga 2.59-2.71, 4 V 2.71-2.74
V (0.2946, 0.5856, 0.3356)  5 Si 2.57-2.72, 3 Ga 2.59-2.71, 4 V 2.71-2.74
V (0.9590, 0.9144, 0.6644)  5 Si 2.57-2.72, 3 Ga 2.59-2.71, 4 V 2.71-2.74
Ga (0.8767, 0.7500, 0.0000)  8 V 2.57-2.71, 4 Si 2.73
Ga (0.1233, 0.2500, 0.0000)  8 V 2.57-2.71, 4 Si 2.73
Si (0.7911, 0.5793, 0.3293)  8 V 2.54-2.73, 2 Si 2.68-2.69, 2 Ga 2.73
Si (0.5382, 0.0793, 0.3293)  8 V 2.54-2.73, 2 Si 2.68-2.69, 2 Ga 2.73
Si (0.4618, 0.9207, 0.6707)  8 V 2.54-2.73, 2 Si 2.68-2.69, 2 Ga 2.73
Si (0.2089, 0.4207, 0.6707)  8 V 2.54-2.73, 2 Si 2.68-2.69, 2 Ga 2.73

---

# 2
Below is an optimized crystal structure of V3GaSi, with properties calculated at the PBE-GGA level.

ΔE to the lowest computed polymorph ... 1.15 eV per formula unit
Raw formation energy ... 8 meV/atom
Theoretical density ... 5.7 g/cm³

Unit cell a=4.4647 b=5.0286 c=6.9685 alpha=111.15 beta=90.00 gamma=90.00
Last column: nearest neighbours and their distance in Å.
Element x y z (fractional)
V (0.7500, 0.9264, 0.3364)  2 V 2.43-2.60, 3 Si 2.45-2.54
V (0.7500, 0.4100, 0.3364)  2 V 2.43-2.60, 3 Si 2.45-2.54
V (0.2500, 0.5900, 0.6636)  2 V 2.43-2.60, 3 Si 2.45-2.54
V (0.2500, 0.0736, 0.6636)  2 V 2.43-2.60, 3 Si 2.45-2.54
V (0.0000, 0.0000, 0.0000)  2 V 2.23, 2 Si 2.50
V (0.5000, 0.0000, 0.0000)  2 V 2.23, 2 Si 2.50
Ga (0.7500, 0.4304, 0.8609)  2 Si 2.85, 2 Ga 2.87, 8 V 2.88-2.90
Ga (0.2500, 0.5696, 0.1391)  2 Si 2.85, 2 Ga 2.87, 8 V 2.88-2.90
Si (0.7500, 0.8279, 0.6558)  8 V 2.45-2.54
Si (0.2500, 0.1721, 0.3442)  8 V 2.45-2.54

---

# 3
Below is an optimized crystal structure of V3GaSi, with properties calculated at the PBE-GGA level.

ΔE to the lowest computed polymorph ... 0.00 eV per formula unit
Raw formation energy ... -221 meV/atom
Theoretical density ... 6.1 g/cm³

Unit cell a=3.2596 b=6.4008 c=7.8813 alpha=105.38 beta=78.08 gamma=120.65
Last column: nearest neighbours and their distance in Å.
Element x y z (fractional)
V (0.8525, 0.1516, 0.5971)  4 Si 2.57-2.80, 4 V 2.59-2.64, 2 Ga 2.60
V (0.7310, 0.2410, 0.0198)  5 V 2.51-2.66, 4 Ga 2.59-2.67
V (0.9484, 0.0492, 0.2008)  6 V 2.51-2.66, 2 Si 2.58, 1 Ga 2.65
V (0.1475, 0.8484, 0.4029)  4 Si 2.57-2.80, 4 V 2.59-2.64, 2 Ga 2.60
V (0.0516, 0.9508, 0.7992)  6 V 2.51-2.66, 2 Si 2.58, 1 Ga 2.65
V (0.2690, 0.7590, 0.9802)  5 V 2.51-2.66, 4 Ga 2.59-2.67
Ga (0.5302, 0.4340, 0.8073)  8 V 2.59-2.86, 2 Si 2.75
Ga (0.4698, 0.5660, 0.1927)  8 V 2.59-2.86, 2 Si 2.75
Si (0.3611, 0.6602, 0.5984)  6 V 2.57-2.80, 2 Si 2.66, 2 Ga 2.75
Si (0.6389, 0.3398, 0.4016)  6 V 2.57-2.80, 2 Si 2.66, 2 Ga 2.75

---

# 4
Below is an optimized crystal structure of V2Ga2Si, with properties calculated at the PBE-GGA level.

Raw formation energy ... -142 meV/atom
Theoretical density ... 5.9 g/cm³

Unit cell a=6.2040 b=6.2040 c=3.9266 alpha=90.00 beta=90.00 gamma=90.00
Last column: nearest neighbours and their distance in Å.
Element x y z (fractional)
Si (0.0000, 0.0000, 0.0000)  4 V 2.36
Si (0.5000, 0.5000, 0.0000)  4 V 2.36
Ga (0.1552, 0.6552, 0.5000)  6 V 2.60-2.73, 1 Ga 2.72
Ga (0.6552, 0.8448, 0.5000)  6 V 2.60-2.73, 1 Ga 2.72
Ga (0.8448, 0.3448, 0.5000)  6 V 2.60-2.73, 1 Ga 2.72
Ga (0.3448, 0.1552, 0.5000)  6 V 2.60-2.73, 1 Ga 2.72
V (0.3490, 0.8490, 0.0000)  2 Si 2.36, 2 Ga 2.60
V (0.8490, 0.6510, 0.0000)  2 Si 2.36, 2 Ga 2.60
V (0.6510, 0.1510, 0.0000)  2 Si 2.36, 2 Ga 2.60
V (0.1510, 0.3490, 0.0000)  2 Si 2.36, 2 Ga 2.60

---

# 5
Below is an optimized crystal structure of VGa3Si, with properties calculated at the PBE-GGA level.

ΔE to the lowest computed polymorph ... 0.26 eV per formula unit
Raw formation energy ... 761 meV/atom
Theoretical density ... 4.4 g/cm³

Unit cell a=4.7805 b=4.7805 c=4.7805 alpha=90.00 beta=90.00 gamma=90.00
Last column: nearest neighbours and their distance in Å.
Element x y z (fractional)
Si (0.0000, 0.0000, 0.0000)  6 Ga 2.39
Ga (0.0000, 0.5000, 0.0000)  2 Si 2.39
Ga (0.0000, 0.0000, 0.5000)  2 Si 2.39
Ga (0.5000, 0.0000, 0.0000)  2 Si 2.39
V (0.5000, 0.5000, 0.5000)  12 Ga 3.38

---

# 6
Below is an optimized crystal structure of V4GaSi2, with properties calculated at the PBE-GGA level.

Raw formation energy ... -298 meV/atom
Theoretical density ... 5.6 g/cm³

Unit cell a=6.3266 b=6.3268 c=6.3266 alpha=109.57 beta=109.57 gamma=109.28
Last column: nearest neighbours and their distance in Å.
Element x y z (fractional)
V (0.0260, 0.2784, 0.4178)  4 Si 2.44-2.54, 2 Ga 2.55-2.62, 2 V 2.64-2.69
V (0.3894, 0.4715, 0.2475)  4 Si 2.44-2.54, 2 Ga 2.55-2.62, 2 V 2.64-2.69
V (0.8604, 0.6080, 0.5819)  4 Si 2.44-2.54, 2 Ga 2.55-2.62, 2 V 2.64-2.69
V (0.7217, 0.1396, 0.7477)  4 Si 2.44-2.54, 2 Ga 2.55-2.62, 2 V 2.64-2.69
V (0.3919, 0.9740, 0.2525)  4 Si 2.44-2.54, 2 Ga 2.55-2.62, 2 V 2.64-2.69
V (0.2239, 0.1419, 0.7523)  4 Si 2.44-2.54, 2 Ga 2.55-2.62, 2 V 2.64-2.69
V (0.5285, 0.7761, 0.9181)  4 Si 2.44-2.54, 2 Ga 2.55-2.62, 2 V 2.64-2.69
V (0.8582, 0.6105, 0.0822)  4 Si 2.44-2.54, 2 Ga 2.55-2.62, 2 V 2.64-2.69
Ga (0.2501, 0.7500, 0.5001)  8 V 2.55-2.62
Ga (0.0000, 0.9999, 0.9999)  8 V 2.55-2.62
Si (0.4917, 0.3751, 0.6168)  8 V 2.44-2.54
Si (0.7583, 0.8750, 0.3833)  8 V 2.44-2.54
Si (0.6249, 0.2417, 0.1167)  8 V 2.44-2.54
Si (0.1250, 0.5084, 0.8832)  8 V 2.44-2.54

---

# 7
Below is an optimized crystal structure of V6Ga2Si, with properties calculated at the PBE-GGA level.

Raw formation energy ... -68 meV/atom
Theoretical density ... 6.1 g/cm³

Unit cell a=6.9729 b=6.9729 c=6.9729 alpha=101.55 beta=114.25 gamma=112.89
Last column: nearest neighbours and their distance in Å.
Element x y z (fractional)
V (0.4782, 0.6951, 0.7831)  3 Ga 2.52-2.55, 1 Si 2.62, 4 V 2.69
V (0.5218, 0.3049, 0.2169)  3 Ga 2.52-2.55, 1 Si 2.62, 4 V 2.69
V (0.0880, 0.3049, 0.7831)  3 Ga 2.52-2.55, 1 Si 2.62, 4 V 2.69
V (0.9120, 0.6951, 0.2169)  3 Ga 2.52-2.55, 1 Si 2.62, 4 V 2.69
V (0.8150, 0.7386, 0.5536)  5 V 2.51-2.80, 2 Si 2.53-2.70, 2 Ga 2.54-2.58
V (0.1850, 0.2614, 0.4464)  5 V 2.51-2.80, 2 Si 2.53-2.70, 2 Ga 2.54-2.58
V (0.1850, 0.7386, 0.9236)  5 V 2.51-2.80, 2 Si 2.53-2.70, 2 Ga 2.54-2.58
V (0.8150, 0.2614, 0.0764)  5 V 2.51-2.80, 2 Si 2.53-2.70, 2 Ga 2.54-2.58
V (0.7391, 0.4136, 0.6745)  3 Ga 2.46-2.69, 4 V 2.51-2.69, 1 Si 2.53
V (0.2609, 0.5864, 0.3255)  3 Ga 2.46-2.69, 4 V 2.51-2.69, 1 Si 2.53
V (0.2609, 0.9354, 0.6745)  3 Ga 2.46-2.69, 4 V 2.51-2.69, 1 Si 2.53
V (0.7391, 0.0646, 0.3255)  3 Ga 2.46-2.69, 4 V 2.51-2.69, 1 Si 2.53
Ga (0.5000, 0.3593, 0.8593)  8 V 2.46-2.55, 1 Ga 2.48
Ga (0.5000, 0.6407, 0.1407)  8 V 2.46-2.55, 1 Ga 2.48
Ga (0.6615, 0.0000, 0.6615)  1 Ga 2.45, 8 V 2.52-2.69, 1 Si 2.56
Ga (0.3385, 0.0000, 0.3385)  1 Ga 2.45, 8 V 2.52-2.69, 1 Si 2.56
Si (0.0000, 0.5000, 0.5000)  12 V 2.53-2.62
Si (0.0000, 0.0000, 0.0000)  2 Ga 2.56, 8 V 2.70-2.87

---

# 8
Below is an optimized crystal structure of V12GaSi3, with properties calculated at the PBE-GGA level.

Raw formation energy ... -388 meV/atom
Theoretical density ... 6.0 g/cm³

Unit cell a=4.7144 b=4.7350 c=9.4261 alpha=90.00 beta=90.00 gamma=90.00
Last column: nearest neighbours and their distance in Å.
Element x y z (fractional)
V (0.5000, 0.0000, 0.3719)  2 V 2.31-2.42
V (0.5000, 0.0000, 0.8729)  2 V 2.31-2.40
V (0.7522, 0.5000, 0.0000)  2 V 2.34-2.38
V (0.7430, 0.5000, 0.5000)  2 V 2.29-2.42
V (0.0000, 0.7459, 0.2447)  2 V 2.33-2.41, 1 Si 2.60
V (0.0000, 0.7459, 0.7553)  2 V 2.33-2.41, 1 Si 2.60
V (0.5000, 0.0000, 0.1271)  2 V 2.31-2.40
V (0.5000, 0.0000, 0.6281)  2 V 2.31-2.42
V (0.2478, 0.5000, 0.0000)  2 V 2.34-2.38
V (0.2570, 0.5000, 0.5000)  2 V 2.29-2.42
V (0.0000, 0.2541, 0.2447)  2 V 2.33-2.41, 1 Si 2.60
V (0.0000, 0.2541, 0.7553)  2 V 2.33-2.41, 1 Si 2.60
Ga (0.0000, 0.0000, 0.5000)  12 V 2.65-2.69
Si (0.5000, 0.5000, 0.2495)  12 V 2.62-2.64
Si (0.5000, 0.5000, 0.7505)  12 V 2.62-2.64
Si (0.0000, 0.0000, 0.0000)  12 V 2.60-2.64

---

# 9
Below is an optimized crystal structure of VGaSi, with properties calculated at the PBE-GGA level.

ΔE to the lowest computed polymorph ... 0.00 eV per formula unit
Raw formation energy ... -187 meV/atom
Theoretical density ... 5.0 g/cm³

Unit cell a=5.2153 b=9.0265 c=6.1705 alpha=137.01 beta=90.00 gamma=90.00
Last column: nearest neighbours and their distance in Å.
Element x y z (fractional)
Si (0.0000, 0.7500, 0.5000)  4 V 2.48, 2 Si 2.61
Si (0.0000, 0.2500, 0.5000)  4 V 2.48, 2 Si 2.61
Si (0.5000, 0.2500, 0.5000)  4 V 2.48, 2 Si 2.61
Si (0.5000, 0.7500, 0.5000)  4 V 2.48, 2 Si 2.61
V (0.7500, 0.5000, 0.0000)  4 Si 2.48, 4 Ga 2.61, 2 V 2.61
V (0.2500, 0.0000, 0.0000)  4 Si 2.48, 4 Ga 2.61, 2 V 2.61
V (0.2500, 0.5000, 0.0000)  4 Si 2.48, 4 Ga 2.61, 2 V 2.61
V (0.7500, 0.0000, 0.0000)  4 Si 2.48, 4 Ga 2.61, 2 V 2.61
Ga (0.5000, 0.7500, 0.0000)  4 V 2.61, 2 Ga 2.61
Ga (0.0000, 0.2500, 0.0000)  4 V 2.61, 2 Ga 2.61
Ga (0.0000, 0.7500, 0.0000)  4 V 2.61, 2 Ga 2.61
Ga (0.5000, 0.2500, 0.0000)  4 V 2.61, 2 Ga 2.61

---

# 10
Below is an optimized crystal structure of V12Ga3Si, with properties calculated at the PBE-GGA level.

Raw formation energy ... -245 meV/atom
Theoretical density ... 6.5 g/cm³

Unit cell a=4.7456 b=4.7509 c=9.5787 alpha=90.00 beta=90.00 gamma=90.00
Last column: nearest neighbours and their distance in Å.
Element x y z (fractional)
V (0.5000, 0.0000, 0.3781)  2 V 2.34-2.43
V (0.5000, 0.0000, 0.8758)  2 V 2.38-2.43, 2 Ga 2.65
V (0.7459, 0.5000, 0.0000)  2 V 2.33-2.41
V (0.7566, 0.5000, 0.5000)  2 V 2.31-2.43
V (0.0000, 0.7569, 0.2560)  2 V 2.31-2.44
V (0.0000, 0.7569, 0.7440)  2 V 2.31-2.44
V (0.5000, 0.0000, 0.1242)  2 V 2.38-2.43, 2 Ga 2.65
V (0.5000, 0.0000, 0.6219)  2 V 2.34-2.43
V (0.2541, 0.5000, 0.0000)  2 V 2.33-2.41
V (0.2434, 0.5000, 0.5000)  2 V 2.31-2.43
V (0.0000, 0.2431, 0.2560)  2 V 2.31-2.44
V (0.0000, 0.2431, 0.7440)  2 V 2.31-2.44
Ga (0.5000, 0.5000, 0.2508)  12 V 2.67-2.68
Ga (0.5000, 0.5000, 0.7492)  12 V 2.67-2.68
Ga (0.0000, 0.0000, 0.0000)  12 V 2.65-2.71
Si (0.0000, 0.0000, 0.5000)  12 V 2.61-2.64

---

# 11
Below is an optimized crystal structure of V8Ga3Si2, with properties calculated at the PBE-GGA level.

Raw formation energy ... 33 meV/atom
Theoretical density ... 5.8 g/cm³

Unit cell a=4.7381 b=7.0726 c=6.8233 alpha=121.22 beta=80.74 gamma=90.00
Last column: nearest neighbours and their distance in Å.
Element x y z (fractional)
V (0.0472, 0.6091, 0.2182)  4 V 2.41-2.67, 1 Si 2.47, 2 Ga 2.54
V (0.9528, 0.3909, 0.7818)  4 V 2.41-2.67, 1 Si 2.47, 2 Ga 2.54
V (0.8777, 0.1925, 0.3849)  2 Si 2.40, 1 V 2.41, 2 Ga 2.60
V (0.1223, 0.8075, 0.6151)  2 Si 2.40, 1 V 2.41, 2 Ga 2.60
V (0.5175, 0.5704, 0.7662)  3 V 2.47-2.70, 2 Si 2.49-2.56, 2 Ga 2.59-2.71
V (0.5175, 0.1958, 0.7662)  3 V 2.47-2.70, 2 Si 2.49-2.56, 2 Ga 2.59-2.71
V (0.4825, 0.8042, 0.2338)  3 V 2.47-2.70, 2 Si 2.49-2.56, 2 Ga 2.59-2.71
V (0.4825, 0.4296, 0.2338)  3 V 2.47-2.70, 2 Si 2.49-2.56, 2 Ga 2.59-2.71
Ga (0.5000, 0.0000, 0.0000)  2 Si 2.58, 4 V 2.59, 4 Ga 2.74
Ga (0.0000, 0.1937, 0.0000)  6 V 2.54-2.71, 3 Ga 2.74
Ga (0.0000, 0.8063, 0.0000)  6 V 2.54-2.71, 3 Ga 2.74
Si (0.3620, 0.2250, 0.4501)  7 V 2.40-2.56, 1 Ga 2.58
Si (0.6380, 0.7750, 0.5499)  7 V 2.40-2.56, 1 Ga 2.58

---

# 12
Below is an optimized crystal structure of V4Ga5Si, with properties calculated at the PBE-GGA level.

Raw formation energy ... -58 meV/atom
Theoretical density ... 6.2 g/cm³

Unit cell a=3.6432 b=6.3445 c=7.1534 alpha=102.96 beta=104.75 gamma=90.00
Last column: nearest neighbours and their distance in Å.
Element x y z (fractional)
V (0.6745, 0.9832, 0.3490)  1 Si 2.44, 5 Ga 2.67-2.68
V (0.0225, 0.2458, 0.0450)  2 Si 2.37, 4 Ga 2.50-2.60
V (0.3255, 0.0168, 0.6510)  1 Si 2.44, 5 Ga 2.67-2.68
V (0.9775, 0.7542, 0.9550)  2 Si 2.37, 4 Ga 2.50-2.60
Ga (0.2086, 0.3004, 0.4173)  4 V 2.52-2.68, 3 Ga 2.62-2.63
Ga (0.1522, 0.6688, 0.3043)  5 V 2.60-2.86, 5 Ga 2.62-2.80
Ga (0.8478, 0.3312, 0.6957)  5 V 2.60-2.86, 5 Ga 2.62-2.80
Ga (0.5000, 0.5000, 0.0000)  4 V 2.50
Ga (0.7914, 0.6996, 0.5827)  4 V 2.52-2.68, 3 Ga 2.62-2.63
Si (0.5000, 0.0000, 0.0000)  6 V 2.37-2.44

---

Number 1: total DFT energy (no corrections) -7.15 eV/atom. Number 2: total DFT energy (no corrections) -7.15 eV/atom. Number 3: total DFT energy (no corrections) -7.38 eV/atom. Number 4: total DFT energy (no corrections) -6.09 eV/atom. Number 5: total DFT energy (no corrections) -3.96 eV/atom. Number 6: total DFT energy (no corrections) -7.49 eV/atom. Number 7: total DFT energy (no corrections) -7.42 eV/atom. Number 8: total DFT energy (no corrections) -8.43 eV/atom. Number 9: total DFT energy (no corrections) -6.04 eV/atom. Number 10: total DFT energy (no corrections) -7.99 eV/atom. Number 11: total DFT energy (no corrections) -7.11 eV/atom. Number 12: total DFT energy (no corrections) -5.76 eV/atom.